# 1
Y2InPb | PBEsol | optimized geometry

Cell: 3.557 5.172 6.192 Å, 90.00 90.00 90.00°
Sites, in units of the cell vectors:
Y  0.000  0.000  0.000
Y  0.500  0.500  0.500
In  0.000  0.000  0.500
Pb  0.500  0.500  0.000

Values from the calculation:
Formation enthalpy at 0 K ... -0.37 eV/atom

***

# 2
Sr2HoGaCu2O7 | PBEsol | optimized geometry

Cell: 12.019 12.019 12.019 Å, 36.85 153.93 154.40°
Sites, in units of the cell vectors:
Sr  0.015  0.150  0.165
Sr  0.015  0.350  0.364
Sr  0.985  0.650  0.636
Sr  0.985  0.850  0.835
Ho  0.002  0.002  0.000
Ho  0.002  0.502  0.500
Ga  0.390  0.709  0.181
Ga  0.528  0.209  0.819
Cu  0.502  0.573  0.070
Cu  0.502  0.932  0.428
Cu  0.503  0.073  0.572
Cu  0.503  0.432  0.930
O  0.003  0.189  0.691
O  0.003  0.317  0.812
O  0.003  0.690  0.186
O  0.003  0.811  0.314
O  0.215  0.854  0.861
O  0.484  0.200  0.635
O  0.484  0.349  0.784
O  0.498  0.311  0.309
O  0.498  0.689  0.686
O  0.505  0.190  0.188
O  0.505  0.817  0.814
O  0.565  0.700  0.216
O  0.565  0.849  0.365
O  0.993  0.354  0.139

Values from the calculation:
ΔE_f (raw) ... -2.1723 eV per atom

***

# 3
InSi2Pt | PBEsol | optimized geometry

Cell: 5.930 5.930 4.728 Å, 113.34 113.34 27.18°
Sites, in units of the cell vectors:
In  0.000  0.000  0.000
Si  0.212  0.212  0.711
Si  0.788  0.788  0.289
Pt  0.500  0.500  0.500

Values from the calculation:
ΔE_f (raw) ... -0.0014 eV per atom

***

# 4
Co5Rh | PBEsol | optimized geometry

Cell: 2.834 2.834 8.324 Å, 90.00 90.00 90.00°
Sites, in units of the cell vectors:
Co  0.000  0.000  0.000
Co  0.000  0.000  0.310
Co  0.000  0.000  0.690
Co  0.500  0.500  0.155
Co  0.500  0.500  0.845
Rh  0.500  0.500  0.500

Values from the calculation:
Formation enthalpy at 0 K ... 0.13 eV/atom

***

# 5
TaZnCr2Ag | PBEsol | optimized geometry

Cell: 4.466 4.466 4.730 Å, 90.00 90.00 90.00°
Sites, in units of the cell vectors:
Ta  0.000  0.000  0.000
Zn  0.000  0.000  0.500
Cr  0.000  0.500  0.500
Cr  0.500  0.000  0.500
Ag  0.500  0.500  0.000

Values from the calculation:
Formation enthalpy at 0 K ... 1.52 eV/atom

***

# 6
Te2Cl | PBEsol | optimized geometry

Cell: 8.136 4.959 8.897 Å, 90.00 90.00 90.00°
Sites, in units of the cell vectors:
Te  0.026  0.250  0.187
Te  0.140  0.250  0.878
Te  0.360  0.750  0.378
Te  0.474  0.750  0.687
Te  0.526  0.250  0.313
Te  0.640  0.250  0.622
Te  0.860  0.750  0.122
Te  0.974  0.750  0.813
Cl  0.159  0.250  0.577
Cl  0.341  0.750  0.077
Cl  0.659  0.250  0.923
Cl  0.841  0.750  0.423

Values from the calculation:
Polymorph energy (0 for the lowest one) ... 4.5 meV per atom
ΔE_f (raw) ... -0.1544 eV per atom

***

# 7
YTl3Cd | PBEsol | optimized geometry

Cell: 5.384 5.384 5.384 Å, 90.00 90.00 90.00°
Sites, in units of the cell vectors:
Y  0.000  0.000  0.000
Tl  0.000  0.500  0.500
Tl  0.500  0.000  0.500
Tl  0.500  0.500  0.000
Cd  0.500  0.500  0.500

Values from the calculation:
Formation enthalpy at 0 K ... 0.37 eV/atom

***

# 8
Re2PtAu | PBEsol | optimized geometry

Cell: 2.711 2.711 9.482 Å, 90.00 90.00 117.08°
Sites, in units of the cell vectors:
Re  0.000  0.000  0.000
Re  0.500  0.500  0.229
Pt  0.000  0.000  0.477
Au  0.500  0.500  0.737

Values from the calculation:
Polymorph energy (0 for the lowest one) ... 57.1 meV per atom
Formation enthalpy at 0 K ... 0.28 eV/atom

***

# 9
K2PW | PBEsol | optimized geometry

Cell: 2.739 2.739 11.216 Å, 90.00 90.00 93.82°
Sites, in units of the cell vectors:
K  0.000  0.000  0.224
K  0.000  0.000  0.776
P  0.500  0.500  0.000
W  0.500  0.500  0.500

Values from the calculation:
Polymorph energy (0 for the lowest one) ... 0.0 meV per atom
Formation enthalpy at 0 K ... 0.95 eV/atom

***

# 10
Zn2GeRh2 | PBEsol | optimized geometry

Cell: 6.219 6.219 3.811 Å, 90.00 90.00 90.00°
Sites, in units of the cell vectors:
Zn  0.148  0.352  0.000
Zn  0.352  0.852  0.000
Zn  0.648  0.148  0.000
Zn  0.852  0.648  0.000
Ge  0.000  0.000  0.500
Ge  0.500  0.500  0.500
Rh  0.154  0.654  0.500
Rh  0.346  0.154  0.500
Rh  0.654  0.846  0.500
Rh  0.846  0.346  0.500

Values from the calculation:
Formation enthalpy at 0 K ... -0.36 eV/atom

***

# 11
SnBr2N2 | PBEsol | optimized geometry

Cell: 5.508 5.508 5.508 Å, 131.19 131.19 71.51°
Sites, in units of the cell vectors:
Sn  0.000  0.000  0.000
Br  0.308  0.308  0.000
Br  0.692  0.692  0.000
N  0.250  0.750  0.500
N  0.750  0.250  0.500

Values from the calculation:
ΔE_f (raw) ... 1.6029 eV per atom

***

# 12
Zn2AsPb | PBEsol | optimized geometry

Cell: 3.403 3.403 6.978 Å, 90.00 90.00 90.00°
Sites, in units of the cell vectors:
Zn  0.000  0.000  0.000
Zn  0.500  0.500  0.203
As  0.000  0.000  0.365
Pb  0.500  0.500  0.736

Values from the calculation:
Formation enthalpy at 0 K ... 0.14 eV/atom

***

# 13
ZrFe4Tc | PBEsol | optimized geometry

Cell: 4.728 4.728 4.728 Å, 60.00 60.00 60.00°
Sites, in units of the cell vectors:
Zr  0.000  0.000  0.000
Fe  0.375  0.375  0.375
Fe  0.375  0.375  0.875
Fe  0.375  0.875  0.375
Fe  0.875  0.375  0.375
Tc  0.750  0.750  0.750

Values from the calculation:
Formation enthalpy at 0 K ... -0.07 eV/atom

***

# 14
Mg3Cd | PBEsol | optimized geometry

Cell: 3.195 3.195 9.871 Å, 90.00 90.00 120.00°
Sites, in units of the cell vectors:
Mg  0.000  0.000  0.000
Mg  0.667  0.333  0.258
Mg  0.667  0.333  0.742
Cd  0.000  0.000  0.500

Values from the calculation:
Formation enthalpy at 0 K ... -0.04 eV/atom

***

# 15
MnFe3F | PBEsol | optimized geometry

Cell: 4.157 4.157 4.157 Å, 90.00 90.00 90.00°
Sites, in units of the cell vectors:
Mn  0.000  0.000  0.000
Fe  0.000  0.000  0.500
Fe  0.000  0.500  0.000
Fe  0.500  0.000  0.000
F  0.500  0.500  0.500

Values from the calculation:
ΔE_f (raw) ... 1.1335 eV per atom

***

# 16
TcRh2Br | PBEsol | optimized geometry

Cell: 5.418 5.418 5.418 Å, 149.35 132.43 57.66°
Sites, in units of the cell vectors:
Tc  0.000  0.000  0.000
Rh  0.447  0.447  0.000
Rh  0.751  0.251  0.500
Br  0.213  0.713  0.500

Values from the calculation:
Polymorph energy (0 for the lowest one) ... 86.6 meV per atom
ΔE_f (raw) ... 0.6231 eV per atom

***

# 17
Na2Nd4NCl9O | PBEsol | optimized geometry

Cell: 8.043 11.214 9.301 Å, 90.00 106.88 90.00°
Sites, in units of the cell vectors:
Na  0.224  0.000  0.430
Na  0.225  0.468  0.431
Na  0.775  0.968  0.569
Na  0.776  0.500  0.570
Nd  0.276  0.946  0.952
Nd  0.284  0.539  0.953
Nd  0.386  0.236  0.780
Nd  0.403  0.237  0.172
Nd  0.597  0.737  0.828
Nd  0.614  0.736  0.220
Nd  0.716  0.039  0.047
Nd  0.724  0.446  0.048
N  0.437  0.115  0.985
N  0.563  0.615  0.015
Cl  0.097  0.073  0.684
Cl  0.100  0.398  0.692
Cl  0.105  0.087  0.124
Cl  0.107  0.389  0.118
Cl  0.232  0.739  0.745
Cl  0.252  0.738  0.143
Cl  0.350  0.234  0.465
Cl  0.498  0.488  0.699
Cl  0.499  0.984  0.699
Cl  0.501  0.484  0.301
Cl  0.502  0.988  0.301
Cl  0.650  0.734  0.535
Cl  0.748  0.238  0.857
Cl  0.768  0.239  0.255
Cl  0.893  0.889  0.882
Cl  0.895  0.587  0.876
Cl  0.900  0.898  0.308
Cl  0.903  0.573  0.316
O  0.441  0.366  0.986
O  0.559  0.866  0.014

Values from the calculation:
ΔE_f (raw) ... -2.2749 eV per atom

***

# 18
Li2InPb | PBEsol | optimized geometry

Cell: 3.776 3.776 6.043 Å, 90.00 90.00 90.00°
Sites, in units of the cell vectors:
Li  0.000  0.000  0.000
Li  0.500  0.500  0.261
In  0.500  0.500  0.782
Pb  0.000  0.000  0.493

Values from the calculation:
Polymorph energy (0 for the lowest one) ... 69.1 meV per atom
Formation enthalpy at 0 K ... -0.23 eV/atom

***

# 19
Mg4Te | PBEsol | optimized geometry

Cell: 8.349 8.349 8.349 Å, 152.25 152.25 39.65°
Sites, in units of the cell vectors:
Mg  0.094  0.094  0.000
Mg  0.250  0.750  0.500
Mg  0.750  0.250  0.500
Mg  0.906  0.906  0.000
Te  0.500  0.500  0.000

Values from the calculation:
Polymorph energy (0 for the lowest one) ... 0.0 meV per atom
ΔE_f (raw) ... -0.0126 eV per atom

***

# 20
Na3CoSiCO7 | PBEsol | optimized geometry

Cell: 5.131 6.237 9.144 Å, 90.00 90.13 90.00°
Sites, in units of the cell vectors:
Na  0.232  0.250  0.400
Na  0.254  0.502  0.760
Na  0.254  0.998  0.760
Na  0.746  0.002  0.240
Na  0.746  0.498  0.240
Na  0.768  0.750  0.600
Co  0.214  0.750  0.148
Co  0.786  0.250  0.852
Si  0.319  0.250  0.069
Si  0.681  0.750  0.931
C  0.277  0.750  0.440
C  0.723  0.250  0.560
O  0.082  0.750  0.347
O  0.150  0.250  0.920
O  0.221  0.750  0.578
O  0.260  0.044  0.179
O  0.260  0.456  0.179
O  0.363  0.750  0.962
O  0.488  0.250  0.606
O  0.512  0.750  0.394
O  0.637  0.250  0.038
O  0.740  0.544  0.821
O  0.740  0.956  0.821
O  0.779  0.250  0.422
O  0.850  0.750  0.080
O  0.918  0.250  0.653

Values from the calculation:
ΔE_f (raw) ... -1.8012 eV per atom

***

no.,M_tot (μB per formula unit)
1,0.00
2,0.00
3,0.00
4,9.68
5,5.37
6,0.00
7,0.00
8,0.00
9,0.00
10,0.00
11,0.00
12,0.00
13,4.98
14,0.00
15,5.50
16,0.00
17,0.00
18,0.00
19,0.00
20,1.99